Computed, not measured: a geometry-optimized Na4SCl structure at the PBE-GGA level of DFT.

Computed properties:
Space-group type: No. 123
Energy, eV/f.u.: -17.02
Raw formation energy, eV per atom: -0.961

abc: 4.8406 4.8403 6.8991
angles: 90.00 90.01 90.00
With the nearest neighbours (Å) after each atom.
Fractional positions:
Na  0.5013  0.9968  0.2641  2 S 2.91, 2 Cl 3.03-3.04, 1 Na 3.23
Na  0.5015  0.9975  0.7322  2 S 2.91, 2 Cl 3.04, 1 Na 3.23
Na  0.0016  0.4974  0.7322  2 S 2.91, 2 Cl 3.03-3.04, 1 Na 3.23
Na  0.0012  0.4969  0.2641  2 S 2.91, 2 Cl 3.04, 1 Na 3.23
S  0.0013  0.9974  0.4981  8 Na 2.91
Cl  0.5010  0.4978  0.9982  8 Na 3.03-3.04

Computed, not measured: a geometry-optimized TiMnVN structure at the PBE-GGA level of DFT.

Computed properties:
Space-group type: No. 107
Distance to the lowest polymorph of the same formula, meV per atom: 0
Energy, eV/f.u.: -38.21
Raw formation energy, eV per atom: -0.926

abc: 2.9753 2.9753 10.0778
angles: 90.00 90.00 90.00
With the nearest neighbours (Å) after each atom.
Fractional positions:
Ti  0.0000  0.0000  0.3448  4 N 2.11
Ti  0.5000  0.5000  0.8448  4 N 2.11
Mn  0.0000  0.0000  0.6624  1 N 1.92
Mn  0.5000  0.5000  0.1624  1 N 1.92
V  0.0000  0.0000  0.0465  1 N 1.95
V  0.5000  0.5000  0.5465  1 N 1.95
N  0.0000  0.0000  0.8533  1 Mn 1.92, 1 V 1.95, 4 Ti 2.11
N  0.5000  0.5000  0.3533  1 Mn 1.92, 1 V 1.95, 4 Ti 2.11

Computed, not measured: a geometry-optimized Ac5LaSn5 structure at the PBE-GGA level of DFT.

Computed properties:
Space-group type: No. 12
Energy, eV/f.u.: -50.78
E_form, eV/atom: -0.4811

abc: 6.7385 8.3716 9.2872
angles: 106.21 90.00 113.73
With the nearest neighbours (Å) after each atom.
Fractional positions:
Ac  0.6712  0.3424  0.3312  5 Sn 3.37-3.40
Ac  0.6691  0.3383  0.8369  5 Sn 3.37-3.40
Ac  0.0000  0.0000  0.5000  4 Sn 3.30-3.32
Ac  0.3309  0.6617  0.1631  5 Sn 3.37-3.40
Ac  0.3288  0.6576  0.6688  5 Sn 3.37-3.40
La  0.0000  0.0000  0.0000  6 Sn 3.28-3.37
Sn  0.8403  0.6806  0.1674  1 La 3.28, 5 Ac 3.30-3.38
Sn  0.8382  0.6765  0.6703  1 La 3.30, 5 Ac 3.32-3.40
Sn  0.5000  0.0000  0.0000  2 La 3.37, 4 Ac 3.38
Sn  0.1618  0.3235  0.3297  1 La 3.30, 5 Ac 3.32-3.40
Sn  0.1597  0.3194  0.8326  1 La 3.28, 5 Ac 3.30-3.38

Computed, not measured: a geometry-optimized KRe2Sb structure at the PBE-GGA level of DFT.

Computed properties:
Space-group type: No. 99
Energy, eV/f.u.: -28.06
Raw formation energy, eV per atom: 0.514

abc: 3.1023 3.1023 9.2418
angles: 90.00 90.00 90.00
With the nearest neighbours (Å) after each atom.
Fractional positions:
K  0.5000  0.5000  0.7685  4 K 3.10
Re  0.0000  0.0000  0.0712  4 Re 2.60
Re  0.5000  0.5000  0.2219  4 Re 2.60
Sb  0.0000  0.0000  0.4385  4 Re 2.97, 4 Sb 3.10